This record from Alexandria via LeMat-Bulk describes crystalline Sr2ScCd at its relaxed geometry. The functional is GGA-PBE. Values from VASP.

```
&SYSTEM
  ibrav = 0, nat = 16, ntyp = 3
/
ATOMIC_SPECIES
Sr 87.62 Sr.upf
Sc 44.96 Sc.upf
Cd 112.41 Cd.upf
CELL_PARAMETERS angstrom
8.101 0.000 0.000
0.000 8.101 0.000
0.000 0.000 8.101
ATOMIC_POSITIONS crystal
Sr 0.000 0.000 0.000
Sr 0.000 0.500 0.500
Sr 0.250 0.250 0.250
Sr 0.250 0.750 0.750
Sr 0.500 0.000 0.500
Sr 0.500 0.500 0.000
Sr 0.750 0.250 0.750
Sr 0.750 0.750 0.250
Sc 0.250 0.250 0.750
Sc 0.250 0.750 0.250
Sc 0.750 0.250 0.250
Sc 0.750 0.750 0.750
Cd 0.000 0.000 0.500
Cd 0.000 0.500 0.000
Cd 0.500 0.000 0.000
Cd 0.500 0.500 0.500
```

Computed properties:
uncorrected energy = -2.491 eV per atom
crystal system = cubic
excess energy over the best structure of this formula in the dataset = 189 meV per atom